1.
! PrEuInBi GGA-PBE relaxed; values from VASP
! - energy relative to the elements (eV per formula unit) = -2.1
! - total energy (eV/atom) = -5.952
! - density (g/cm3) = 8.13
! - DOS at the Fermi energy (states/eV/atom) = 0.98
&SYSTEM
  ibrav = 0, nat = 4, ntyp = 4
/
ATOMIC_SPECIES
Pr 140.91 Pr.upf
Eu 151.96 Eu.upf
In 114.82 In.upf
Bi 208.98 Bi.upf
ATOMIC_POSITIONS crystal
Pr 0.000 0.000 0.000
Eu 0.500 0.500 0.500
In 0.250 0.250 0.250
Bi 0.750 0.750 0.750
CELL_PARAMETERS angstrom
0.000 3.978 3.978
3.978 0.000 3.978
3.978 3.978 0.000


2.
! LiAsPb2 GGA-PBE relaxed; values from VASP
! - energy relative to the elements (eV per formula unit) = 0.1
! - total energy (eV/atom) = -3.479
! - density (g/cm3) = 7.94
! - DOS at the Fermi energy (states/eV/atom) = 0.52
&SYSTEM
  ibrav = 0, nat = 4, ntyp = 3
/
ATOMIC_SPECIES
Li 6.94 Li.upf
As 74.92 As.upf
Pb 207.20 Pb.upf
ATOMIC_POSITIONS crystal
Li 0.000 0.000 0.000
As 0.500 0.000 0.500
Pb 0.322 0.500 0.246
Pb 0.678 0.500 0.754
CELL_PARAMETERS angstrom
3.280 0.000 0.000
0.000 5.226 0.000
-0.123 0.000 6.053


3.
! Sm3TeS3 GGA-PBE relaxed; values from VASP
! - total energy (eV/atom) = -6.055
! - density (g/cm3) = 5.48
! - E_form (uncorrected) (meV/atom) = -1814
! - DOS at the Fermi energy (states/eV/atom) = 0.38
&SYSTEM
  ibrav = 0, nat = 14, ntyp = 3
/
ATOMIC_SPECIES
Sm 150.36 Sm.upf
Te 127.60 Te.upf
S 32.06 S.upf
ATOMIC_POSITIONS crystal
Sm 0.106 0.711 0.475
Sm 0.289 0.525 0.894
Sm 0.475 0.106 0.711
Sm 0.525 0.894 0.289
Sm 0.711 0.475 0.106
Sm 0.894 0.289 0.525
Te 0.330 0.330 0.330
Te 0.670 0.670 0.670
S 0.111 0.383 0.836
S 0.164 0.889 0.617
S 0.383 0.836 0.111
S 0.617 0.164 0.889
S 0.836 0.111 0.383
S 0.889 0.617 0.164
CELL_PARAMETERS angstrom
4.046 2.336 7.215
-4.046 2.336 7.215
0.000 -4.672 7.215


4.
! Ac3Al2CuPd6 GGA-PBE relaxed; values from VASP
! - energy relative to the elements (eV per formula unit) = -7.3
! - total energy (eV/atom) = -5.195
! - density (g/cm3) = 8.81
! - DOS at the Fermi energy (states/eV/atom) = 0.49
&SYSTEM
  ibrav = 0, nat = 12, ntyp = 4
/
ATOMIC_SPECIES
Ac 227.00 Ac.upf
Al 26.98 Al.upf
Cu 63.55 Cu.upf
Pd 106.42 Pd.upf
ATOMIC_POSITIONS crystal
Ac 0.000 0.000 0.000
Ac 0.333 0.667 0.627
Ac 0.667 0.333 0.373
Al 0.333 0.667 0.063
Al 0.667 0.333 0.937
Cu 0.000 0.000 0.500
Pd 0.171 0.343 0.286
Pd 0.171 0.829 0.286
Pd 0.343 0.171 0.714
Pd 0.657 0.829 0.286
Pd 0.829 0.171 0.714
Pd 0.829 0.657 0.714
CELL_PARAMETERS angstrom
5.897 0.000 0.000
-2.948 5.107 0.000
0.000 0.000 8.993


Question: DOS at the Fermi energy of number 1 (PrEuInBi)?
Answer: 0.98 states/eV/atom